Record 1
The following is a DFT calculation (PBE) of crystalline RbPuHg2F8 at its relaxed geometry.

As for the uncorrected formation energy: -55.2 kcal/mol of atoms. The density is 7.3 g cm⁻³. Its spin magnetization is 4.68 μB/cell. As for the total energy: -59.6 eV per cell.

```
data_RbPuHg2F8
_space_group_name_H-M_alt 'P 1'
_space_group_IT_number 1
_cell_length_a 5.7758
_cell_length_b 5.7758
_cell_length_c 7.2595
_cell_angle_alpha 113.44
_cell_angle_beta 113.44
_cell_angle_gamma 90.00
loop_
_space_group_symop_operation_xyz
'x,y,z'
loop_
_atom_site_label
_atom_site_fract_x
_atom_site_fract_y
_atom_site_fract_z
_atom_site_occupancy
Rb1 0.5000 0.5000 0.0000 1
Pu1 0.2500 0.7500 0.5000 1
Hg1 0.7500 0.2500 0.5000 1
Hg2 0.0000 0.0000 0.0000 1
F1 0.1101 0.6350 0.7187 1
F2 0.6085 0.6350 0.7187 1
F3 0.3650 0.3915 0.2813 1
F4 0.9163 0.8899 0.2813 1
F5 0.6085 0.0837 0.7187 1
F6 0.3650 0.8899 0.2813 1
F7 0.1101 0.0837 0.7187 1
F8 0.9163 0.3915 0.2813 1
```



Record 2
The following is a DFT calculation (PBE) of crystalline RbBeTlSi2 at its relaxed geometry.

As for the uncorrected formation energy: 33.1 kcal/mol of atoms. The density is 3.1 g cm⁻³. Its spin magnetization is 0.00 μB/cell. As for the total energy: -10.7 eV per cell.

```
data_RbBeTlSi2
_space_group_name_H-M_alt 'P 1'
_space_group_IT_number 1
_cell_length_a 5.3095
_cell_length_b 6.7966
_cell_length_c 5.3095
_cell_angle_alpha 90.00
_cell_angle_beta 90.00
_cell_angle_gamma 90.00
loop_
_space_group_symop_operation_xyz
'x,y,z'
loop_
_atom_site_label
_atom_site_fract_x
_atom_site_fract_y
_atom_site_fract_z
_atom_site_occupancy
Be1 0.5000 0.5000 0.5000 1
Tl1 0.0000 0.0000 0.0000 1
Si1 0.0000 0.0000 0.5000 1
Si2 0.5000 0.0000 0.0000 1
Rb1 0.0000 0.5000 0.0000 1
```